Entry from Alexandria: a relaxed structure of KAlSn (GGA-PBE).

Cell and atoms, written as POSCAR:
```
KAlSn
1.0
4.9758 0.0000 0.0000
-2.4879 4.3092 0.0000
0.0000 0.0000 7.8348
K Al Sn
2 2 2
Direct
0.0000 0.0000 0.0000
0.0000 0.0000 0.5000
0.3333 0.6667 0.3088
0.6667 0.3333 0.8088
0.3333 0.6667 0.7063
0.6667 0.3333 0.2063
```

Computed properties:
Its density of states at the Fermi level is 0.03 states/eV/atom. The value obtained for the calculated formation energy is -0.03 eV/atom.